The following is a DFT calculation (PBE-GGA) of crystalline PuTlHgTe3 at its relaxed geometry.

density of states at the Fermi level = 26.83 states/eV per cell
crystal system = monoclinic
total DFT energy (no corrections) = -4.93 eV/atom
formation energy from raw total energies = -0.530 eV per atom

Cell and atoms, written as CIF:
```
data_PuTlHgTe3
_chemical_formula_sum 'Pu2 Tl2 Hg2 Te6'
_space_group_name_H-M_alt 'P 1'
_space_group_IT_number 1
_space_group_name_Hall 'P 1'
_cell_length_a 4.540
_cell_length_b 9.306
_cell_length_c 10.501
_cell_angle_alpha 106.24
_cell_angle_beta 90.00
_cell_angle_gamma 90.00
loop_
_atom_site_label
_atom_site_fract_x
_atom_site_fract_y
_atom_site_fract_z
Tl1 0.750 0.784 0.767
Tl2 0.250 0.216 0.233
Te1 0.250 0.096 0.883
Te2 0.750 0.241 0.531
Te3 0.250 0.544 0.840
Te4 0.250 0.759 0.469
Te5 0.750 0.456 0.160
Te6 0.750 0.904 0.117
Pu1 0.750 0.320 0.854
Pu2 0.250 0.680 0.146
Hg1 0.250 0.094 0.612
Hg2 0.750 0.906 0.388
```



The following is a DFT calculation (PBE-GGA) of crystalline PuTl2Hg2Te4 at its relaxed geometry.

density of states at the Fermi level = 15.26 states/eV per cell
crystal system = monoclinic
total DFT energy (no corrections) = -3.96 eV/atom
formation energy from raw total energies = -0.376 eV per atom

Cell and atoms, written as CIF:
```
data_PuTl2Hg2Te4
_chemical_formula_sum 'Pu1 Tl2 Hg2 Te4'
_space_group_name_H-M_alt 'P 1'
_space_group_IT_number 1
_space_group_name_Hall 'P 1'
_cell_length_a 4.530
_cell_length_b 8.446
_cell_length_c 8.531
_cell_angle_alpha 106.70
_cell_angle_beta 105.39
_cell_angle_gamma 90.00
loop_
_atom_site_label
_atom_site_fract_x
_atom_site_fract_y
_atom_site_fract_z
Pu1 0.000 0.000 0.000
Te1 0.499 0.736 0.999
Te2 0.207 0.212 0.415
Te3 0.793 0.788 0.585
Te4 0.501 0.264 0.001
Tl1 0.872 0.440 0.744
Tl2 0.128 0.560 0.256
Hg1 0.663 0.982 0.326
Hg2 0.337 0.018 0.674
```



The following is a DFT calculation (PBE-GGA) of crystalline Pu2ThHg at its relaxed geometry.

density of states at the Fermi level = 11.55 states/eV per cell
offset from the most stable computed form = 0.000 eV/atom
crystal system = tetragonal
total DFT energy (no corrections) = -9.09 eV/atom
ΔE_f = 4 meV per atom

Cell and atoms, written as CIF:
```
data_Pu2ThHg
_chemical_formula_sum 'Pu2 Th1 Hg1'
_space_group_name_H-M_alt 'P 1'
_space_group_IT_number 1
_space_group_name_Hall 'P 1'
_cell_length_a 5.130
_cell_length_b 4.586
_cell_length_c 4.586
_cell_angle_alpha 90.00
_cell_angle_beta 90.00
_cell_angle_gamma 90.00
loop_
_atom_site_label
_atom_site_fract_x
_atom_site_fract_y
_atom_site_fract_z
Hg1 0.500 0.000 0.000
Pu1 0.000 0.000 0.500
Pu2 0.000 0.500 0.000
Th1 0.500 0.500 0.500
```



The following is a DFT calculation (PBE-GGA) of crystalline PuThHg5 at its relaxed geometry.

density of states at the Fermi level = 17.60 states/eV per cell
crystal system = orthorhombic
total DFT energy (no corrections) = -3.37 eV/atom
ΔE_f = -45 meV per atom

Cell and atoms, written as CIF:
```
data_PuThHg5
_chemical_formula_sum 'Pu1 Th1 Hg5'
_space_group_name_H-M_alt 'P 1'
_space_group_IT_number 1
_space_group_name_Hall 'P 1'
_cell_length_a 4.363
_cell_length_b 5.004
_cell_length_c 8.947
_cell_angle_alpha 90.00
_cell_angle_beta 90.00
_cell_angle_gamma 90.00
loop_
_atom_site_label
_atom_site_fract_x
_atom_site_fract_y
_atom_site_fract_z
Hg1 0.000 0.500 0.254
Hg2 0.500 0.500 0.500
Hg3 0.000 0.500 0.746
Hg4 0.500 0.000 0.221
Hg5 0.500 0.000 0.779
Pu1 0.500 0.500 0.000
Th1 0.000 0.000 0.500
```



The following is a DFT calculation (PBE-GGA) of crystalline Pu2ThHg at its relaxed geometry.

density of states at the Fermi level = 15.94 states/eV per cell
offset from the most stable computed form = 0.049 eV/atom
crystal system = tetragonal
total DFT energy (no corrections) = -9.04 eV/atom
ΔE_f = 53 meV per atom

Cell and atoms, written as CIF:
```
data_Pu2ThHg
_chemical_formula_sum 'Pu2 Th1 Hg1'
_space_group_name_H-M_alt 'P 1'
_space_group_IT_number 1
_space_group_name_Hall 'P 1'
_cell_length_a 3.524
_cell_length_b 3.524
_cell_length_c 8.867
_cell_angle_alpha 90.00
_cell_angle_beta 90.00
_cell_angle_gamma 90.00
loop_
_atom_site_label
_atom_site_fract_x
_atom_site_fract_y
_atom_site_fract_z
Hg1 0.500 0.500 0.000
Th1 0.500 0.500 0.500
Pu1 0.000 0.000 0.240
Pu2 0.000 0.000 0.760
```



The following is a DFT calculation (PBE-GGA) of crystalline Pu4ThHg5 at its relaxed geometry.

density of states at the Fermi level = 29.03 states/eV per cell
crystal system = tetragonal
total DFT energy (no corrections) = -6.76 eV/atom
ΔE_f = -131 meV per atom

Cell and atoms, written as CIF:
```
data_Pu4ThHg5
_chemical_formula_sum 'Pu4 Th1 Hg5'
_space_group_name_H-M_alt 'P 1'
_space_group_IT_number 1
_space_group_name_Hall 'P 1'
_cell_length_a 3.336
_cell_length_b 3.336
_cell_length_c 23.104
_cell_angle_alpha 90.00
_cell_angle_beta 90.00
_cell_angle_gamma 90.00
loop_
_atom_site_label
_atom_site_fract_x
_atom_site_fract_y
_atom_site_fract_z
Hg1 0.500 0.500 0.698
Hg2 0.500 0.500 0.897
Hg3 0.500 0.500 0.103
Hg4 0.500 0.500 0.500
Hg5 0.500 0.500 0.302
Pu1 0.000 0.000 0.202
Pu2 0.000 0.000 0.798
Pu3 0.000 0.000 0.599
Pu4 0.000 0.000 0.401
Th1 0.000 0.000 0.000
```



The following is a DFT calculation (PBE-GGA) of crystalline PuTh4Hg3 at its relaxed geometry.

density of states at the Fermi level = 10.58 states/eV per cell
crystal system = tetragonal
total DFT energy (no corrections) = -5.75 eV/atom
ΔE_f = -135 meV per atom

Cell and atoms, written as CIF:
```
data_PuTh4Hg3
_chemical_formula_sum 'Pu1 Th4 Hg3'
_space_group_name_H-M_alt 'P 1'
_space_group_IT_number 1
_space_group_name_Hall 'P 1'
_cell_length_a 5.461
_cell_length_b 5.460
_cell_length_c 8.446
_cell_angle_alpha 108.85
_cell_angle_beta 108.87
_cell_angle_gamma 90.00
loop_
_atom_site_label
_atom_site_fract_x
_atom_site_fract_y
_atom_site_fract_z
Hg1 0.000 0.500 0.000
Hg2 0.749 0.249 0.499
Hg3 0.251 0.751 0.501
Th1 0.122 0.122 0.244
Th2 0.878 0.878 0.756
Th3 0.378 0.378 0.756
Th4 0.622 0.622 0.244
Pu1 0.500 0.000 0.000
```



The following is a DFT calculation (PBE-GGA) of crystalline Pu2ThHg at its relaxed geometry.

density of states at the Fermi level = 13.23 states/eV per cell
offset from the most stable computed form = 0.140 eV/atom
crystal system = cubic
total DFT energy (no corrections) = -8.95 eV/atom
ΔE_f = 144 meV per atom

Cell and atoms, written as CIF:
```
data_Pu2ThHg
_chemical_formula_sum 'Pu2 Th1 Hg1'
_space_group_name_H-M_alt 'P 1'
_space_group_IT_number 1
_space_group_name_Hall 'P 1'
_cell_length_a 5.320
_cell_length_b 5.320
_cell_length_c 5.320
_cell_angle_alpha 60.00
_cell_angle_beta 60.00
_cell_angle_gamma 60.00
loop_
_atom_site_label
_atom_site_fract_x
_atom_site_fract_y
_atom_site_fract_z
Pu1 0.750 0.750 0.750
Pu2 0.250 0.250 0.250
Hg1 0.500 0.500 0.500
Th1 0.000 0.000 0.000
```